GaFeNO2 | Alexandria via LeMat-Bulk | PBE+U | optimized geometry; VASP energy = -2.5535 eV/atom; theoretical density = 0.89 Mg/m³; space group = P4/mmm
1.0
6.8518 0.0000 0.0000
0.0000 6.8518 0.0000
0.0000 0.0000 6.8324
Ga Fe N O
1 1 1 2
Cartesian
0.0000 0.0000 0.0000
3.4259 3.4259 3.4162
0.0000 0.0000 3.4162
0.0000 3.4259 0.0000
3.4259 0.0000 0.0000